First-principles (GGA+U) data for crystalline MgFeO2 at its relaxed geometry, as listed in the Alexandria database.

Its calculated total energy is -71.533 eV/cell. Its spin magnetization is 4.00 μB per formula unit.

The structure belongs to space group R-3m (No. 166, hexagonal axes); the cell edges are 3.0777, 3.0777 and 17.1818 Å and the angles 90.00°, 90.00° and 120.00°. The distinct sites, in fractional coordinates, are Mg at (0.0000, 0.0000, 0.0000), Fe at (0.0000, 0.0000, 0.5000) and O at (0.0000, 0.0000, 0.3963).



First-principles (GGA+U) data for crystalline MgFeO2 at its relaxed geometry, as listed in the Alexandria database.

Its calculated total energy is -195.034 eV/cell. Its spin magnetization is 4.00 μB per formula unit.

The structure belongs to space group C2/m (No. 12); the cell edges are 15.987, 3.134 and 10.158 Å and the angles 90.00°, 127.63° and 90.00°. The distinct sites, in fractional coordinates, are Mg at (0.049, 0.000, 0.179), Mg at (0.192, 0.500, 0.152), Fe at (0.076, 0.500, 0.709), Fe at (0.174, 0.000, 0.511), O at (0.056, 0.500, 0.321), O at (0.098, 0.000, 0.025), O at (0.151, 0.000, 0.718) and O at (0.221, 0.000, 0.349).



First-principles (GGA+U) data for crystalline MgFeO2 at its relaxed geometry, as listed in the Alexandria database.

Its calculated total energy is -202.209 eV/cell. Its spin magnetization is 4.01 μB per formula unit.

The structure belongs to space group C2/c (No. 15); the cell edges are 6.125, 12.289 and 5.254 Å and the angles 90.00°, 125.11° and 90.00°. The distinct sites, in fractional coordinates, are Mg at (0.000, 0.063, 0.250), Mg at (0.000, 0.187, 0.750), Fe at (0.000, 0.314, 0.250), Fe at (0.000, 0.441, 0.750), O at (0.234, 0.062, 0.736) and O at (0.245, 0.313, 0.751).



First-principles (GGA+U) data for crystalline Mg4FeO5 at its relaxed geometry, as listed in the Alexandria database.

Its spin magnetization is 4.00 μB per formula unit. The excess energy over the best structure of this formula in the dataset is 4 meV/atom.

The structure belongs to space group Immm (No. 71); the cell edges are 3.043, 4.244 and 15.252 Å and the angles 90.00°, 90.00° and 90.00°. The distinct sites, in fractional coordinates, are Mg at (0.000, 0.000, 0.102), Mg at (0.000, 0.000, 0.299), Fe at (0.000, 0.000, 0.500), O at (0.000, 0.500, 0.105), O at (0.000, 0.500, 0.300) and O at (0.000, 0.500, 0.500).



First-principles (GGA+U) data for crystalline MgFe2O at its relaxed geometry, as listed in the Alexandria database.

Its spin magnetization is 7.18 μB per formula unit. The excess energy over the best structure of this formula in the dataset is 0 meV/atom.

The structure belongs to space group I-42d (No. 122); the cell edges are 7.305, 7.305 and 4.462 Å and the angles 90.00°, 90.00° and 90.00°. The distinct sites, in fractional coordinates, are Mg at (0.000, 0.000, 0.000), Fe at (0.146, 0.750, 0.625) and O at (0.000, 0.000, 0.500).



First-principles (GGA+U) data for crystalline Mg4FeO5 at its relaxed geometry, as listed in the Alexandria database.

Its spin magnetization is 4.00 μB per formula unit. The excess energy over the best structure of this formula in the dataset is 2 meV/atom.

The structure belongs to space group C2/m (No. 12); the cell edges are 10.058, 3.040 and 7.445 Å and the angles 90.00°, 120.20° and 90.00°. The distinct sites, in fractional coordinates, are Mg at (0.098, 0.000, 0.400), Mg at (0.201, 0.500, 0.801), Fe at (0.000, 0.500, 0.000), O at (0.000, 0.500, 0.500), O at (0.104, 0.000, 0.893) and O at (0.199, 0.500, 0.303).